The following is a DFT calculation (PBE) of an optimized crystal structure of NdThCuSn.

The structure in POSCAR format:
```
NdThCuSn
1.0
5.309 0.000 0.000
2.655 4.598 0.000
2.655 1.533 4.335
Cu Nd Sn Th
1 1 1 1
Direct
0.750 0.750 0.750 Cu
0.000 0.000 0.000 Nd
0.250 0.250 0.250 Sn
0.500 0.500 0.500 Th
```

Computed properties:
As for the energy of formation from the pure elements: -0.290 eV per atom. Its electronic total energy is -5.36 eV/atom.